1.
A relaxed InCu2Pb crystal, computed with PBE.

For the formation energy, the calculation gives 0.2921 eV/atom. The value obtained for the final energy is -3.3677 eV/atom.

Unit cell a=4.1227 b=4.1227 c=9.3231 alpha=90.00 beta=90.00 gamma=90.00
Closest atoms and distances in Å follow each position.
Space group I-4m2 (No. 119)
Unique sites:
In 0.0000 0.0000 0.0000 [2 per cell]  8 Cu 2.92-3.11, 4 Pb 3.11
Cu 0.0000 0.0000 0.5000 [2 per cell]  4 In 2.92, 4 Pb 3.11, 4 Cu 3.11
Cu 0.0000 0.5000 0.2500 [2 per cell]  4 Pb 2.92, 4 In 3.11, 4 Cu 3.11
Pb 0.0000 0.5000 0.7500 [2 per cell]  8 Cu 2.92-3.11, 4 In 3.11

---

2.
A relaxed SmLuHf2 crystal, computed with PBE.

For the formation energy, the calculation gives 0.1957 eV/atom. The calculation puts the excess energy over the best structure of this formula in the dataset at 0 meV/atom. The value obtained for the final energy is -7.0910 eV/atom.

Unit cell a=4.6718 b=4.6718 c=4.7488 alpha=90.00 beta=90.00 gamma=90.00
Closest atoms and distances in Å follow each position.
Space group P4/mmm (No. 123)
Unique sites:
Sm 0.0000 0.0000 0.0000 [1 per cell]  4 Lu 3.30, 8 Hf 3.33
Lu 0.5000 0.5000 0.0000 [1 per cell]  4 Sm 3.30, 8 Hf 3.33
Hf 0.0000 0.5000 0.5000 [2 per cell]  4 Hf 3.30, 4 Sm 3.33, 4 Lu 3.33

---

3.
A relaxed Tb6UO12 crystal, computed with PBE.

Its uncorrected formation energy is -3547 meV/atom. The value obtained for the final energy is -8.7351 eV/atom.

Unit cell a=10.0512 b=10.0512 c=9.4888 alpha=90.00 beta=90.00 gamma=120.00
Closest atoms and distances in Å follow each position.
Space group R-3 (No. 148, hexagonal axes)
Unique sites:
Tb 0.0381 0.7867 0.1412 [18 per cell]  6 O 2.24-2.40
U 0.0000 0.0000 0.5000 [3 per cell]  6 O 2.10
O 0.0312 0.8105 0.8984 [18 per cell]  4 Tb 2.24-2.32
O 0.0351 0.8403 0.3874 [18 per cell]  1 U 2.10